No. 1
## CoGePd (PBE)

Data for a relaxed structure of CoGePd.

abc: 2.9347 2.9347 9.3988
angles: 90.00 90.00 90.00
Space group I4mm (No. 107)
Unique sites:
1 Co 0.0000 0.0000 0.0000
2 Ge 0.0000 0.0000 0.6279
3 Pd 0.0000 0.0000 0.3027

Summary:
V (Å³ per cell): 81
ΔE_f (meV/atom): -109

***

No. 2
## NdSm2Ho3Tm6 (PBE)

Data for a relaxed structure of NdSm2Ho3Tm6.

abc: 6.1337 10.6127 11.6661
angles: 90.00 100.06 90.00
Space group C2/m (No. 12)
Unique sites:
1 Nd 0.0000 0.0000 0.0000
2 Sm 0.0000 0.3334 0.0000
3 Ho 0.0000 0.1667 0.5000
4 Ho 0.0000 0.5000 0.5000
5 Tm 0.2481 0.3332 0.7470
6 Tm 0.2485 0.0000 0.7470

Summary:
V (Å³ per cell): 748
ΔE_f (meV/atom): 23